Density functional theory data (PBE-GGA) for PuAgPd4 after structural relaxation.

The space group is F-43m (No. 216) and the conventional cell measures 7.584, 7.584 and 7.584 Å, with angles of 90.00, 90.00 and 90.00 degrees. The asymmetric unit holds Pu at (0.000, 0.000, 0.000), Ag at (0.250, 0.250, 0.250) and Pd at (0.125, 0.125, 0.625).

Its total energy is -6.641 eV/atom. As for the energy of formation: -7.3 kcal/mol of atoms.

---

Density functional theory data (PBE-GGA) for MnNb4Mo3 after structural relaxation.

The space group is P4/mmm (No. 123) and the conventional cell measures 3.200, 3.200 and 12.800 Å, with angles of 90.00, 90.00 and 90.00 degrees. The asymmetric unit holds Mn at (0.000, 0.000, 0.000), Nb at (0.500, 0.500, 0.118), Nb at (0.500, 0.500, 0.372), Mo at (0.000, 0.000, 0.245) and Mo at (0.000, 0.000, 0.500).

Its total energy is -10.350 eV/atom. As for the energy of formation: -2.5 kcal/mol of atoms.

---

Density functional theory data (PBE-GGA) for Ac4Pd after structural relaxation.

The space group is Pm-3m (No. 221) and the conventional cell measures 6.018, 6.018 and 6.018 Å, with angles of 90.00, 90.00 and 90.00 degrees. The asymmetric unit holds Ac at (0.000, 0.000, 0.000), Ac at (0.000, 0.500, 0.500) and Pd at (0.500, 0.500, 0.500).

Its total energy is -4.510 eV/atom. As for the energy of formation: -4.3 kcal/mol of atoms.

---

Density functional theory data (PBE-GGA) for TmCdPd6 after structural relaxation.

The space group is P4/mmm (No. 123) and the conventional cell measures 4.051, 4.051 and 8.186 Å, with angles of 90.00, 90.00 and 90.00 degrees. The asymmetric unit holds Tm at (0.000, 0.000, 0.000), Cd at (0.000, 0.000, 0.500), Pd at (0.000, 0.500, 0.252), Pd at (0.500, 0.500, 0.000) and Pd at (0.500, 0.500, 0.500).

Its total energy is -5.138 eV/atom. As for the energy of formation: -13.1 kcal/mol of atoms.